Density functional theory data (PBE-GGA) for crystalline CdMoCl2 at its relaxed geometry.

* SG: No. 44
* theoretical density: 4010 kg/m³
* energy relative to the lowest polymorph listed for this composition: 322 meV/atom
* V: 28.91 Å³ per atom

Cell lengths 6.129, 6.129, 6.129 Å; angles 146.98, 109.46, 80.11 degrees
Each line ends with the local moment (μB).
Element x y z (fractional)
Mo: 0.493 0.493 0.000  3.21
Cl: 0.952 0.952 0.000  0.04
Cl: 0.312 0.812 0.500  0.02
Cd: 0.744 0.244 0.500  -0.01

Density functional theory data (PBE-GGA) for crystalline CdMo2Cl at its relaxed geometry.

* SG: No. 12
* theoretical density: 8120 kg/m³
* energy relative to the lowest polymorph listed for this composition: 566 meV/atom
* V: 17.37 Å³ per atom

Cell lengths 5.605, 5.605, 5.124 Å; angles 62.63, 62.63, 29.37 degrees
Element x y z (fractional)
Cd: 0.750 0.750 0.750
Cl: 0.250 0.250 0.250
Mo: 0.971 0.971 0.030
Mo: 0.529 0.529 0.470

Density functional theory data (PBE-GGA) for crystalline CdMo2Cl at its relaxed geometry.

* SG: No. 47
* theoretical density: 7915 kg/m³
* energy relative to the lowest polymorph listed for this composition: 697 meV/atom
* V: 17.82 Å³ per atom

Cell lengths 2.936, 4.855, 5.001 Å; angles 90.00, 90.00, 90.00 degrees
Element x y z (fractional)
Cd: 0.500 0.000 0.500
Cl: 0.000 0.500 0.500
Mo: 0.000 0.000 0.000
Mo: 0.500 0.500 0.000

Record-wise uncorrected energy values, in eV for the cell shown: -15.2, -21.9, -21.4